Entry from the Alexandria database: Na2Tl2Pd3 after structural relaxation (PBE-GGA).

Lattice parameters (Å, degrees): 4.347 6.185 7.288 118.04 90.00 110.57
Positions (direct):
Na (0.140, 0.280, 0.770)
Na (0.860, 0.720, 0.230)
Tl (0.152, 0.304, 0.256)
Tl (0.848, 0.696, 0.744)
Pd (0.582, 0.165, 0.425)
Pd (0.418, 0.835, 0.575)
Pd (0.500, 0.000, 0.000)

* final energy: -0.127 hartree per atom
* volume: 22.67 A^3/atom
* distance to the lowest polymorph of the same formula: 0.0000 eV/atom
* SG: No. 12
* mass density: 8.100 g/cm³

Entry from the Alexandria database: Na5Tl2Pd after structural relaxation (PBE-GGA).

Lattice parameters (Å, degrees): 4.022 7.286 14.595 90.00 90.00 90.00
Positions (direct):
Na (0.000, 0.500, 0.500)
Na (0.000, 0.000, 0.000)
Na (0.500, 0.734, 0.112)
Na (0.000, 0.529, 0.257)
Na (0.500, 0.766, 0.612)
Na (0.500, 0.266, 0.888)
Na (0.500, 0.234, 0.388)
Na (0.000, 0.971, 0.757)
Na (0.000, 0.029, 0.243)
Na (0.000, 0.471, 0.743)
Tl (0.500, 0.301, 0.106)
Tl (0.500, 0.199, 0.606)
Tl (0.500, 0.801, 0.394)
Tl (0.500, 0.699, 0.894)
Pd (0.000, 0.000, 0.500)
Pd (0.000, 0.500, 0.000)

* final energy: -0.079 hartree per atom
* volume: 26.73 A^3/atom
* distance to the lowest polymorph of the same formula: 0.0256 eV/atom
* SG: No. 55
* mass density: 4.893 g/cm³

Entry from the Alexandria database: NaTl3Pd2 after structural relaxation (PBE-GGA).

Lattice parameters (Å, degrees): 5.754 8.237 8.237 130.92 90.00 90.00
Positions (direct):
Tl (0.750, 0.559, 0.162)
Tl (0.250, 0.838, 0.441)
Tl (0.750, 0.150, 0.150)
Tl (0.750, 0.162, 0.559)
Tl (0.250, 0.441, 0.838)
Tl (0.250, 0.850, 0.850)
Na (0.750, 0.667, 0.667)
Na (0.250, 0.333, 0.333)
Pd (0.500, 0.851, 0.149)
Pd (0.000, 0.149, 0.851)
Pd (0.500, 0.149, 0.851)
Pd (0.000, 0.851, 0.149)

* final energy: -0.120 hartree per atom
* volume: 24.58 A^3/atom
* distance to the lowest polymorph of the same formula: 0.0444 eV/atom
* SG: No. 63
* mass density: 9.559 g/cm³

Entry from the Alexandria database: NaTlPd after structural relaxation (PBE-GGA).

Lattice parameters (Å, degrees): 3.202 4.849 4.849 120.00 90.00 90.00
Positions (direct):
Na (0.667, 0.667, 0.333)
Tl (0.169, 0.000, 0.000)
Pd (0.164, 0.333, 0.667)

* final energy: -0.114 hartree per atom
* volume: 21.74 A^3/atom
* SG: No. 156
* mass density: 8.499 g/cm³

Entry from the Alexandria database: NaTl4Pd7 after structural relaxation (PBE-GGA).

Lattice parameters (Å, degrees): 5.006 8.966 6.097 82.19 65.76 73.79
Positions (direct):
Pd (0.787, 0.911, 0.515)
Pd (0.358, 0.533, 0.751)
Pd (0.642, 0.467, 0.249)
Pd (0.500, 0.000, 0.000)
Pd (0.937, 0.355, 0.772)
Pd (0.063, 0.645, 0.228)
Pd (0.213, 0.089, 0.485)
Tl (0.590, 0.223, 0.597)
Tl (0.264, 0.323, 0.149)
Tl (0.410, 0.777, 0.403)
Tl (0.736, 0.677, 0.851)
Na (0.000, 0.000, 0.000)

* final energy: -0.147 hartree per atom
* volume: 19.96 A^3/atom
* SG: No. 12
* mass density: 10.991 g/cm³

Entry from the Alexandria database: NaTl3Pd5 after structural relaxation (PBE-GGA).

Lattice parameters (Å, degrees): 5.761 8.207 8.207 120.00 90.00 90.00
Positions (direct):
Pd (0.500, 0.667, 0.333)
Pd (0.250, 0.000, 0.681)
Pd (0.000, 0.333, 0.667)
Pd (0.750, 0.681, 0.681)
Pd (0.250, 0.681, 0.000)
Pd (0.750, 0.319, 0.000)
Pd (0.500, 0.333, 0.667)
Pd (0.250, 0.319, 0.319)
Pd (0.750, 0.000, 0.319)
Pd (0.000, 0.667, 0.333)
Tl (0.250, 0.352, 0.000)
Tl (0.250, 0.000, 0.352)
Tl (0.750, 0.000, 0.648)
Tl (0.750, 0.352, 0.352)
Tl (0.750, 0.648, 0.000)
Tl (0.250, 0.648, 0.648)
Na (0.500, 0.000, 0.000)
Na (0.000, 0.000, 0.000)

* final energy: -0.146 hartree per atom
* volume: 18.67 A^3/atom
* SG: No. 193
* mass density: 11.547 g/cm³

Entry from the Alexandria database: Na2Tl5Pd3 after structural relaxation (PBE-GGA).

Lattice parameters (Å, degrees): 4.636 7.463 14.082 90.00 99.47 90.00
Positions (direct):
Pd (0.778, 0.700, 0.556)
Pd (0.222, 0.200, 0.444)
Pd (0.393, 0.019, 0.785)
Pd (0.954, 0.491, 0.907)
Pd (0.046, 0.991, 0.093)
Pd (0.607, 0.519, 0.215)
Tl (0.708, 0.982, 0.417)
Tl (0.952, 0.104, 0.903)
Tl (0.295, 0.926, 0.590)
Tl (0.880, 0.758, 0.760)
Tl (0.120, 0.258, 0.240)
Tl (0.403, 0.403, 0.806)
Tl (0.048, 0.604, 0.097)
Tl (0.597, 0.903, 0.194)
Tl (0.292, 0.482, 0.583)
Tl (0.705, 0.426, 0.410)
Na (0.171, 0.707, 0.342)
Na (0.522, 0.275, 0.044)
Na (0.829, 0.207, 0.658)
Na (0.478, 0.775, 0.956)

* final energy: -0.116 hartree per atom
* volume: 24.03 A^3/atom
* SG: No. 36
* mass density: 9.587 g/cm³

Entry from the Alexandria database: NaTlPd3 after structural relaxation (PBE-GGA).

Lattice parameters (Å, degrees): 6.341 6.341 6.341 66.70 66.70 66.70
Positions (direct):
Tl (0.255, 0.255, 0.255)
Tl (0.755, 0.755, 0.755)
Pd (0.350, 0.086, 0.880)
Pd (0.586, 0.850, 0.380)
Pd (0.880, 0.350, 0.086)
Pd (0.850, 0.380, 0.586)
Pd (0.086, 0.880, 0.350)
Pd (0.380, 0.586, 0.850)
Na (0.947, 0.947, 0.947)
Na (0.447, 0.447, 0.447)

* final energy: -0.137 hartree per atom
* volume: 20.63 A^3/atom
* distance to the lowest polymorph of the same formula: 0.3093 eV/atom
* SG: No. 161
* mass density: 8.802 g/cm³

Entry from the Alexandria database: NaTl2Pd after structural relaxation (PBE-GGA).

Lattice parameters (Å, degrees): 3.433 3.433 8.001 90.00 90.00 90.00
Positions (direct):
Pd (0.500, 0.500, 0.000)
Tl (0.000, 0.000, 0.788)
Tl (0.000, 0.000, 0.212)
Na (0.500, 0.500, 0.500)

* final energy: -0.109 hartree per atom
* volume: 23.57 A^3/atom
* SG: No. 123
* mass density: 9.478 g/cm³

Entry from the Alexandria database: NaTl2Pd after structural relaxation (PBE-GGA).

Lattice parameters (Å, degrees): 4.168 4.661 4.661 90.00 90.00 90.00
Positions (direct):
Na (0.500, 0.000, 0.000)
Tl (0.000, 0.000, 0.500)
Tl (0.000, 0.500, 0.000)
Pd (0.500, 0.500, 0.500)

* final energy: -0.106 hartree per atom
* volume: 22.63 A^3/atom
* SG: No. 123
* mass density: 9.871 g/cm³

Entry from the Alexandria database: NaTl7Pd5 after structural relaxation (PBE-GGA).

Lattice parameters (Å, degrees): 5.824 7.614 7.614 83.11 67.51 67.51
Positions (direct):
Pd (0.017, 0.996, 0.478)
Pd (0.017, 0.478, 0.996)
Pd (0.764, 0.736, 0.736)
Pd (0.508, 0.478, 0.996)
Pd (0.508, 0.996, 0.478)
Tl (0.531, 0.794, 0.144)
Tl (0.269, 0.231, 0.231)
Tl (0.620, 0.380, 0.380)
Tl (0.995, 0.326, 0.684)
Tl (0.291, 0.709, 0.709)
Tl (0.995, 0.684, 0.326)
Tl (0.531, 0.144, 0.794)
Na (0.950, 0.050, 0.050)

* final energy: -0.129 hartree per atom
* volume: 22.16 A^3/atom
* SG: No. 44
* mass density: 11.446 g/cm³

Entry from the Alexandria database: NaTlPd after structural relaxation (PBE-GGA).

Lattice parameters (Å, degrees): 4.439 4.441 7.270 90.22 90.26 90.12
Positions (direct):
Tl (0.311, 0.363, 0.683)
Tl (0.816, 0.870, 0.156)
Pd (0.314, 0.865, 0.920)
Pd (0.813, 0.368, 0.920)
Na (0.316, 0.369, 0.233)
Na (0.811, 0.864, 0.606)

* final energy: -0.116 hartree per atom
* volume: 23.88 A^3/atom
* SG: No. 12
* mass density: 7.736 g/cm³